[1]
Material: Cr2ReOs
Method: DFT, GGA-PBE
State: relaxed

Computed properties:
Formation energy (kJ/mol of formula units): 34
Density of states at the Fermi level (states/eV/cell): 3.89
Crystal system: tetragonal

Unit cell a=2.8855 b=2.8855 c=6.3376 alpha=90.00 beta=90.00 gamma=90.00
Last column: nearest neighbours and their distance in Å.
Element x y z (fractional)
Cr1 0.5000 0.5000 0.2169  4 Cr 2.34
Cr2 0.0000 0.0000 0.0358  4 Cr 2.34
Os1 0.0000 0.0000 0.4860  5 Cr 2.66-2.85, 4 Re 2.68, 4 Os 2.89
Re1 0.5000 0.5000 0.7613  5 Cr 2.68-2.89, 4 Os 2.68, 4 Re 2.89

---

[2]
Material: Re2NiW
Method: DFT, GGA-PBE
State: relaxed

Computed properties:
Distance to the lowest polymorph of the same formula (meV per atom): 196.8
Formation energy (kJ/mol of formula units): 80
Density of states at the Fermi level (states/eV/cell): 7.15
Crystal system: cubic

Unit cell a=4.3459 b=4.3459 c=4.3459 alpha=60.00 beta=60.00 gamma=60.00
Last column: nearest neighbours and their distance in Å.
Element x y z (fractional)
Re1 0.2500 0.2500 0.2500  4 W 2.66, 4 Ni 2.66
Ni1 0.0000 0.0000 0.0000  8 Re 2.66
W1 0.5000 0.5000 0.5000  8 Re 2.66
Re2 0.7500 0.7500 0.7500  4 W 2.66, 4 Ni 2.66

---

[3]
Material: Ti3SnAs
Method: DFT, GGA-PBE
State: relaxed

Computed properties:
Distance to the lowest polymorph of the same formula (meV per atom): 237.0
Formation energy (kJ/mol of formula units): -23
Density of states at the Fermi level (states/eV/cell): 6.38
Crystal system: cubic

Unit cell a=4.7140 b=4.7140 c=4.7140 alpha=90.00 beta=90.00 gamma=90.00
Last column: nearest neighbours and their distance in Å.
Element x y z (fractional)
As1 0.0000 0.0000 0.0000  6 Ti 2.36
Ti1 0.5000 0.0000 0.0000  2 As 2.36
Sn1 0.5000 0.5000 0.5000  12 Ti 3.33
Ti2 0.0000 0.5000 0.0000  2 As 2.36
Ti3 0.0000 0.0000 0.5000  2 As 2.36

---

[4]
Material: PmPrHo4
Method: DFT, GGA-PBE
State: relaxed

Computed properties:
Distance to the lowest polymorph of the same formula (meV per atom): 99.8
Formation energy (kJ/mol of formula units): 70
Density of states at the Fermi level (states/eV/cell): 19.54
Crystal system: monoclinic

Unit cell a=6.5699 b=8.7892 c=7.0269 alpha=90.00 beta=90.00 gamma=103.28
Last column: nearest neighbours and their distance in Å.
Element x y z (fractional)
Ho1 0.9056 0.1839 0.9983  8 Ho 3.49-3.85, 3 Pr 3.59-3.86, 2 Pm 3.60-3.78
Pm1 0.7217 0.4853 0.7500  5 Ho 3.20-3.54, 1 Pr 3.35
Pr1 0.3761 0.1567 0.2500  1 Pm 3.35, 8 Ho 3.44-3.62
Pr2 0.6239 0.8433 0.7500  1 Pm 3.35, 8 Ho 3.44-3.62
Ho2 0.0944 0.8161 0.0017  8 Ho 3.49-3.85, 3 Pr 3.59-3.86, 2 Pm 3.60-3.78
Pm2 0.2783 0.5147 0.2500  5 Ho 3.20-3.54, 1 Pr 3.35
Ho3 0.0944 0.8161 0.4983  8 Ho 3.49-3.85, 3 Pr 3.59-3.86, 2 Pm 3.60-3.78
Ho4 0.6262 0.8529 0.2500  1 Pm 3.31, 3 Pr 3.44-3.51, 5 Ho 3.54-3.61
Ho5 0.7864 0.4951 0.2500  4 Pm 3.20-3.54, 5 Ho 3.49-3.54, 1 Pr 3.53
Ho6 0.3738 0.1471 0.7500  1 Pm 3.31, 3 Pr 3.44-3.51, 5 Ho 3.54-3.61
Ho7 0.9056 0.1839 0.5017  8 Ho 3.49-3.85, 3 Pr 3.59-3.86, 2 Pm 3.60-3.78
Ho8 0.2136 0.5049 0.7500  4 Pm 3.20-3.54, 5 Ho 3.49-3.54, 1 Pr 3.53

---

[5]
Material: CrIrC3
Method: DFT, GGA-PBE
State: relaxed

Computed properties:
Distance to the lowest polymorph of the same formula (meV per atom): 0.0
Formation energy (kJ/mol of formula units): 1058
Density of states at the Fermi level (states/eV/cell): 9.09
Crystal system: cubic

Unit cell a=3.7780 b=3.7780 c=3.7780 alpha=90.00 beta=90.00 gamma=90.00
Last column: nearest neighbours and their distance in Å.
Element x y z (fractional)
C1 0.0000 0.0000 0.5000  2 Cr 1.89
Cr1 0.0000 0.0000 0.0000  6 C 1.89
Ir1 0.5000 0.5000 0.5000  12 C 2.67
C2 0.5000 0.0000 0.0000  2 Cr 1.89
C3 0.0000 0.5000 0.0000  2 Cr 1.89

---

[6]
Material: Na2Dy2PdO6
Method: DFT, GGA-PBE
State: relaxed

Computed properties:
Energy relative to the elements, uncorrected (eV/atom): -2.11
Density of states at the Fermi level (states/eV/cell): 0.00
Crystal system: monoclinic

Unit cell a=5.7559 b=5.7559 c=5.8712 alpha=97.08 beta=97.08 gamma=120.21
Last column: nearest neighbours and their distance in Å.
Element x y z (fractional)
Dy1 0.3368 0.6632 0.5000  6 O 2.27-2.30
Na1 0.1435 0.8565 0.0000  4 O 2.36-2.43
O1 0.6432 0.9590 0.3064  1 Pd 2.11, 2 Dy 2.27-2.29
O2 0.2493 0.2493 0.2979  1 Pd 2.07, 2 Dy 2.30
Dy2 0.6632 0.3368 0.5000  6 O 2.27-2.30
O3 0.0410 0.3568 0.6936  1 Pd 2.11, 2 Dy 2.27-2.29
O4 0.9590 0.6432 0.3064  1 Pd 2.11, 2 Dy 2.27-2.29
Na2 0.8565 0.1435 0.0000  4 O 2.36-2.43
O5 0.3568 0.0410 0.6936  1 Pd 2.11, 2 Dy 2.27-2.29
O6 0.7507 0.7507 0.7021  1 Pd 2.07, 2 Dy 2.30
Pd1 0.0000 0.0000 0.5000  6 O 2.07-2.11

---

[7]
Material: LaTaCu3
Method: DFT, GGA-PBE
State: relaxed

Computed properties:
Distance to the lowest polymorph of the same formula (meV per atom): 1073.3
Formation energy (kJ/mol of formula units): 816
Density of states at the Fermi level (states/eV/cell): 3.47
Crystal system: cubic

Unit cell a=4.8034 b=4.8034 c=4.8034 alpha=90.00 beta=90.00 gamma=90.00
Last column: nearest neighbours and their distance in Å.
Element x y z (fractional)
La1 0.0000 0.0000 0.0000  6 Cu 2.40
Ta1 0.5000 0.5000 0.5000  12 Cu 3.40
Cu1 0.0000 0.5000 0.0000  2 La 2.40
Cu2 0.0000 0.0000 0.5000  2 La 2.40
Cu3 0.5000 0.0000 0.0000  2 La 2.40

---

[8]
Material: Na3AgBr
Method: DFT, GGA-PBE
State: relaxed

Computed properties:
Distance to the lowest polymorph of the same formula (meV per atom): 0.0
Energy relative to the elements, uncorrected (eV/atom): -0.37
Density of states at the Fermi level (states/eV/cell): 2.60
Crystal system: cubic

Unit cell a=5.5631 b=5.5631 c=5.5631 alpha=90.00 beta=90.00 gamma=90.00
Last column: nearest neighbours and their distance in Å.
Element x y z (fractional)
Na1 0.5000 0.0000 0.0000  2 Br 2.78
Na2 0.0000 0.0000 0.5000  2 Br 2.78
Br1 0.0000 0.0000 0.0000  6 Na 2.78
Ag1 0.5000 0.5000 0.5000  12 Na 3.93
Na3 0.0000 0.5000 0.0000  2 Br 2.78

---

[9]
Material: PrErAu
Method: DFT, GGA-PBE
State: relaxed

Computed properties:
Distance to the lowest polymorph of the same formula (meV per atom): 19.7
Formation energy (kJ/mol of formula units): -167
Density of states at the Fermi level (states/eV/cell): 6.41
Crystal system: tetragonal

Unit cell a=4.8527 b=4.8528 c=7.3454 alpha=89.99 beta=89.99 gamma=90.00
Last column: nearest neighbours and their distance in Å.
Element x y z (fractional)
Au1 0.4805 0.4930 0.6570  4 Er 2.92, 1 Pr 2.93
Pr1 0.4806 0.4928 0.2580  1 Au 2.93
Er1 0.4805 0.9929 0.8788  4 Au 2.92
Pr2 0.9806 0.9928 0.4996  1 Au 2.93
Er2 0.9805 0.4929 0.8788  4 Au 2.92
Au2 0.9804 0.9929 0.1007  4 Er 2.92, 1 Pr 2.93

---

[10]
Material: RbLaY3
Method: DFT, GGA-PBE
State: relaxed

Computed properties:
Distance to the lowest polymorph of the same formula (meV per atom): 0.0
Formation energy (kJ/mol of formula units): 362
Density of states at the Fermi level (states/eV/cell): 7.70
Crystal system: cubic

Unit cell a=5.9707 b=5.9707 c=5.9707 alpha=90.00 beta=90.00 gamma=90.00
Last column: nearest neighbours and their distance in Å.
Element x y z (fractional)
Y1 0.0000 0.5000 0.0000  2 La 2.99
La1 0.0000 0.0000 0.0000  6 Y 2.99
Rb1 0.5000 0.5000 0.5000  12 Y 4.22
Y2 0.5000 0.0000 0.0000  2 La 2.99
Y3 0.0000 0.0000 0.5000  2 La 2.99

---

[11]
Material: MgTiInCl6
Method: DFT, GGA-PBE
State: relaxed

Computed properties:
Energy relative to the elements, uncorrected (eV/atom): -1.50
Density of states at the Fermi level (states/eV/cell): 12.71
Crystal system: trigonal

Unit cell a=6.4963 b=6.4963 c=13.9986 alpha=90.00 beta=90.00 gamma=120.00
Last column: nearest neighbours and their distance in Å.
Element x y z (fractional)
In1 0.0000 0.0000 0.5000  6 Cl 3.21
Ti1 0.3333 0.6667 0.7500  6 Cl 2.44
Cl1 0.3797 0.3705 0.3506  1 Ti 2.44, 1 Mg 2.52
Cl2 0.6295 0.0092 0.3506  1 Ti 2.44, 1 Mg 2.52
Cl3 0.3705 0.9908 0.6494  1 Ti 2.44, 1 Mg 2.52
Cl4 0.9908 0.3705 0.1494  1 Ti 2.44, 1 Mg 2.52
Cl5 0.0092 0.6295 0.8506  1 Ti 2.44, 1 Mg 2.52
Cl6 0.6203 0.9908 0.8506  1 Ti 2.44, 1 Mg 2.52
Cl7 0.0092 0.3797 0.6494  1 Ti 2.44, 1 Mg 2.52
Ti2 0.6667 0.3333 0.2500  6 Cl 2.44
Mg1 0.3333 0.6667 0.2500  6 Cl 2.52
Cl8 0.6203 0.6295 0.6494  1 Ti 2.44, 1 Mg 2.52
Cl9 0.6295 0.6203 0.1494  1 Ti 2.44, 1 Mg 2.52
In2 0.0000 0.0000 0.0000  6 Cl 3.21
Cl10 0.9908 0.6203 0.3506  1 Ti 2.44, 1 Mg 2.52
Cl11 0.3705 0.3797 0.8506  1 Ti 2.44, 1 Mg 2.52
Cl12 0.3797 0.0092 0.1494  1 Ti 2.44, 1 Mg 2.52
Mg2 0.6667 0.3333 0.7500  6 Cl 2.52

---

[12]
Material: HoHf3Ru4
Method: DFT, GGA-PBE
State: relaxed

Computed properties:
Formation energy (kJ/mol of formula units): -553
Density of states at the Fermi level (states/eV/cell): 1.33
Crystal system: trigonal

Unit cell a=4.6222 b=4.6222 c=8.0520 alpha=73.32 beta=73.32 gamma=60.00
Last column: nearest neighbours and their distance in Å.
Element x y z (fractional)
Ru1 0.6216 0.6216 0.1353  5 Hf 2.77-2.96, 3 Ho 2.86
Hf1 0.7513 0.7513 0.7460  8 Ru 2.76-2.96
Hf2 0.2487 0.2487 0.2540  8 Ru 2.76-2.96
Ho1 0.0000 0.0000 0.0000  8 Ru 2.86-2.91
Hf3 0.5000 0.5000 0.5000  8 Ru 2.77-2.81
Ru2 0.3784 0.3784 0.8647  5 Hf 2.77-2.96, 3 Ho 2.86
Ru3 0.1277 0.1277 0.6169  7 Hf 2.76-2.84, 1 Ho 2.91
Ru4 0.8723 0.8723 0.3831  7 Hf 2.76-2.84, 1 Ho 2.91

---

[13]
Material: CrFeCo2
Method: DFT, GGA-PBE
State: relaxed

Computed properties:
Formation energy (kJ/mol of formula units): 51
Density of states at the Fermi level (states/eV/cell): 4.91
Crystal system: tetragonal

Unit cell a=2.7763 b=2.7763 c=5.8612 alpha=90.00 beta=90.00 gamma=90.00
Last column: nearest neighbours and their distance in Å.
Element x y z (fractional)
Co1 0.0000 0.0000 0.9943  4 Fe 2.41, 4 Co 2.48
Fe1 0.5000 0.5000 0.7549  4 Co 2.41, 4 Cr 2.48
Co2 0.5000 0.5000 0.2534  4 Cr 2.43, 4 Co 2.48
Cr1 0.0000 0.0000 0.4975  4 Co 2.43, 4 Fe 2.48

---

[14]
Material: NaMnAgCl5
Method: DFT, GGA-PBE
State: relaxed

Computed properties:
Energy relative to the elements, uncorrected (eV/atom): -0.98
Crystal system: monoclinic

Unit cell a=7.6981 b=7.6981 c=9.4844 alpha=110.69 beta=110.69 gamma=92.51
Last column: nearest neighbours and their distance in Å.
Element x y z (fractional)
Cl1 0.0817 0.6469 0.7889  1 Mn 2.20
Mn1 0.6534 0.3466 0.2500  4 Cl 2.20-2.26
Cl2 0.8849 0.1151 0.7500  1 Ag 2.40
Cl3 0.9183 0.3531 0.2111  1 Mn 2.20
Cl4 0.6601 0.6912 0.8928  1 Mn 2.26
Na1 0.0000 0.0000 0.5000  4 Cl 2.69-3.00
Cl5 0.1151 0.8849 0.2500  1 Ag 2.40
Cl6 0.3531 0.9183 0.7111  1 Mn 2.20
Cl7 0.6912 0.6601 0.3928  1 Mn 2.26
Cl8 0.3399 0.3088 0.1072  1 Mn 2.26
Ag1 0.6693 0.3307 0.7500  3 Cl 2.40-2.64
Ag2 0.3307 0.6693 0.2500  3 Cl 2.40-2.64
Cl9 0.3088 0.3399 0.6072  1 Mn 2.26
Mn2 0.3466 0.6534 0.7500  4 Cl 2.20-2.26
Na2 0.0000 0.0000 0.0000  4 Cl 2.69-3.00
Cl10 0.6469 0.0817 0.2889  1 Mn 2.20

---

[15]
Material: Tb7Sm3Sc
Method: DFT, GGA-PBE
State: relaxed

Computed properties:
Distance to the lowest polymorph of the same formula (meV per atom): 32.2
Formation energy (kJ/mol of formula units): 193
Density of states at the Fermi level (states/eV/cell): 16.33
Crystal system: trigonal

Unit cell a=8.6047 b=7.0348 c=7.0348 alpha=120.00 beta=90.00 gamma=90.00
Last column: nearest neighbours and their distance in Å.
Element x y z (fractional)
Sc1 0.4438 0.3333 0.6667  9 Tb 3.42-3.52, 3 Sm 3.53
Tb1 0.1217 0.6634 0.8317  1 Sc 3.42, 8 Tb 3.47-3.55, 2 Sm 3.56
Sm1 0.7805 0.0017 0.5009  4 Sm 3.50-3.54, 5 Tb 3.51-3.57, 1 Sc 3.53
Tb2 0.1208 0.6667 0.3333  9 Tb 3.46-3.52, 3 Sm 3.57
Tb3 0.4480 0.8323 0.1677  7 Tb 3.46-3.54, 2 Sm 3.51, 2 Sc 3.52
Tb4 0.4480 0.3354 0.1677  7 Tb 3.46-3.54, 2 Sm 3.51, 2 Sc 3.52
Sm2 0.7805 0.4991 0.9983  4 Sm 3.50-3.54, 5 Tb 3.51-3.57, 1 Sc 3.53
Tb5 0.4480 0.8323 0.6646  7 Tb 3.46-3.54, 2 Sm 3.51, 2 Sc 3.52
Tb6 0.1217 0.1683 0.3366  1 Sc 3.42, 8 Tb 3.47-3.55, 2 Sm 3.56
Sm3 0.7805 0.4991 0.5009  4 Sm 3.50-3.54, 5 Tb 3.51-3.57, 1 Sc 3.53
Tb7 0.1217 0.1683 0.8317  1 Sc 3.42, 8 Tb 3.47-3.55, 2 Sm 3.56

---

[16]
Material: Mg2ZnNi
Method: DFT, GGA-PBE
State: relaxed

Computed properties:
Formation energy (kJ/mol of formula units): 18
Density of states at the Fermi level (states/eV/cell): 1.98
Crystal system: trigonal

Unit cell a=9.1886 b=9.1886 c=9.1886 alpha=18.27 beta=18.27 gamma=18.27
Last column: nearest neighbours and their distance in Å.
Element x y z (fractional)
Ni1 0.2500 0.2500 0.2500  6 Mg 2.63, 6 Ni 2.92
Mg1 0.5090 0.5090 0.5090  3 Ni 2.63, 6 Mg 2.92
Mg2 0.9910 0.9910 0.9910  3 Ni 2.63, 6 Mg 2.92
Zn1 0.7500 0.7500 0.7500  6 Zn 2.92, 6 Mg 3.02

---

[17]
Material: NaNbSe2
Method: DFT, GGA-PBE
State: relaxed

Computed properties:
Energy relative to the elements, uncorrected (eV/atom): -0.86
Density of states at the Fermi level (states/eV/cell): 2.22
Crystal system: trigonal

Unit cell a=3.5915 b=3.5915 c=7.8939 alpha=76.85 beta=76.85 gamma=60.00
Last column: nearest neighbours and their distance in Å.
Element x y z (fractional)
Nb1 0.6666 0.6666 0.0002  6 Se 2.66
Se1 0.0730 0.0730 0.7809  3 Nb 2.66, 3 Na 2.98
Na1 0.5001 0.5001 0.4996  6 Se 2.98
Se2 0.2603 0.2603 0.2192  3 Nb 2.66, 3 Na 2.98

---

[18]
Material: MnTc2Ru
Method: DFT, GGA-PBE
State: relaxed

Computed properties:
Distance to the lowest polymorph of the same formula (meV per atom): 31.0
Formation energy (kJ/mol of formula units): 33
Density of states at the Fermi level (states/eV/cell): 4.57
Crystal system: monoclinic

Unit cell a=4.6420 b=4.6420 c=4.6710 alpha=80.41 beta=80.41 gamma=33.82
Last column: nearest neighbours and their distance in Å.
Element x y z (fractional)
Ru1 0.7516 0.7516 0.7510  7 Tc 2.66-2.73, 3 Mn 2.68-2.71, 2 Ru 2.70
Tc1 0.2462 0.2462 0.2597  3 Mn 2.64-2.68, 4 Ru 2.67-2.73, 5 Tc 2.68-2.75
Tc2 0.0021 0.0021 0.9926  3 Ru 2.66-2.67, 5 Tc 2.68-2.75, 4 Mn 2.68-2.71
Mn1 0.5000 0.5000 0.4968  7 Tc 2.64-2.71, 3 Ru 2.68-2.71, 2 Mn 2.70

---

[19]
Material: Dy4AlIn
Method: DFT, GGA-PBE
State: relaxed

Computed properties:
Distance to the lowest polymorph of the same formula (meV per atom): 0.0
Formation energy (kJ/mol of formula units): -158
Density of states at the Fermi level (states/eV/cell): 5.37
Crystal system: monoclinic

Unit cell a=3.4947 b=7.2194 c=8.7562 alpha=122.33 beta=78.49 gamma=75.99
Last column: nearest neighbours and their distance in Å.
Element x y z (fractional)
Dy1 0.1674 0.4859 0.1792  2 Al 3.21, 2 In 3.25, 4 Dy 3.42-3.58
Dy2 0.8326 0.5141 0.8208  2 Al 3.21, 2 In 3.25, 4 Dy 3.42-3.58
In1 0.0000 0.0000 0.0000  8 Dy 3.24-3.25, 2 In 3.49, 2 Al 3.50
Dy3 0.6805 0.9706 0.6684  2 Al 3.19, 2 In 3.24, 3 Dy 3.42-3.49
Al1 0.5000 0.5000 0.5000  8 Dy 3.19-3.21, 2 Al 3.49, 2 In 3.50
Dy4 0.3195 0.0294 0.3316  2 Al 3.19, 2 In 3.24, 3 Dy 3.42-3.49

---

[20]
Material: PaGaAu
Method: DFT, GGA-PBE
State: relaxed

Computed properties:
Formation energy (kJ/mol of formula units): -121
Density of states at the Fermi level (states/eV/cell): 7.79
Crystal system: orthorhombic

Unit cell a=4.7270 b=5.7033 c=5.7033 alpha=92.51 beta=65.52 gamma=65.52
Last column: nearest neighbours and their distance in Å.
Element x y z (fractional)
Au1 0.0000 0.1733 0.8267  2 Ga 2.72, 1 Au 2.86
Pa1 0.2561 0.2439 0.2439  2 Pa 3.08-3.23, 6 Au 3.14-3.16, 6 Ga 3.16-3.18
Ga1 0.5000 0.3374 0.6626  1 Ga 2.68, 2 Au 2.72
Au2 0.0000 0.8267 0.1733  2 Ga 2.72, 1 Au 2.86
Pa2 0.7439 0.7561 0.7561  2 Pa 3.08-3.23, 6 Au 3.14-3.16, 6 Ga 3.16-3.18
Ga2 0.5000 0.6626 0.3374  1 Ga 2.68, 2 Au 2.72

---

Per-record size of the total moment, μB/atom: 0.0000, 0.0000, 0.4979, 0.0000, 0.0001, 0.0000, 0.0000, 0.0000, 0.0000, 0.1975, 0.1111, 0.0000, 1.4626, 0.4980, 0.0000, 0.0000, 0.0000, 0.3652, 0.0000, 0.1121
Per-record calculated volume, Å³/cell: 52.8, 58.0, 104.8, 394.9, 53.9, 162.9, 110.8, 172.2, 173.0, 212.9, 511.6, 140.6, 45.2, 482.7, 368.8, 66.6, 85.1, 55.2, 165.9, 123.0